No. 1
This record from Alexandria via LeMat-Bulk describes KNaPb after structural relaxation. The functional is PBE-GGA.

Calculated values
symmetry = No. 156
offset from the most stable computed form = 3.2 kJ per mole of atoms

a b c (Å): 5.809 5.809 3.555
angles (deg): 90.00 90.00 120.00
Atoms (fractional coordinates):
K1 0.000 0.000 0.000
Na1 0.333 0.667 0.320
Pb1 0.667 0.333 0.565

***

No. 2
This record from Alexandria via LeMat-Bulk describes KNaPb3 after structural relaxation. The functional is PBE-GGA.

Calculated values
symmetry = No. 52
offset from the most stable computed form = 1.4 kJ per mole of atoms

a b c (Å): 14.746 6.783 6.870
angles (deg): 90.00 90.00 90.00
Atoms (fractional coordinates):
K1 0.250 0.000 0.075
K2 0.250 0.500 0.425
K3 0.750 0.000 0.925
K4 0.750 0.500 0.575
Na1 0.042 0.250 0.250
Na2 0.458 0.750 0.250
Na3 0.542 0.250 0.750
Na4 0.958 0.750 0.750
Pb1 0.012 0.750 0.250
Pb2 0.143 0.554 0.903
Pb3 0.143 0.946 0.597
Pb4 0.357 0.054 0.597
Pb5 0.357 0.446 0.903
Pb6 0.488 0.250 0.250
Pb7 0.512 0.750 0.750
Pb8 0.643 0.554 0.097
Pb9 0.643 0.946 0.403
Pb10 0.857 0.054 0.403
Pb11 0.857 0.446 0.097
Pb12 0.988 0.250 0.750

***

No. 3
This record from Alexandria via LeMat-Bulk describes K2NaPb after structural relaxation. The functional is PBE-GGA.

Calculated values
symmetry = No. 160

a b c (Å): 13.113 13.113 13.113
angles (deg): 17.47 17.47 17.47
Atoms (fractional coordinates):
K1 0.000 0.000 0.000
K2 0.150 0.150 0.150
Na1 0.575 0.575 0.575
Pb1 0.742 0.742 0.742

***

No. 4
This record from Alexandria via LeMat-Bulk describes KNaPb2 after structural relaxation. The functional is PBE-GGA.

Calculated values
symmetry = No. 122
offset from the most stable computed form = 17.5 kJ per mole of atoms

a b c (Å): 12.057 12.057 12.057
angles (deg): 155.33 155.33 35.17
Atoms (fractional coordinates):
K1 0.000 0.000 0.000
K2 0.750 0.250 0.500
Na1 0.250 0.750 0.500
Na2 0.500 0.500 0.000
Pb1 0.202 0.625 0.077
Pb2 0.375 0.452 0.577
Pb3 0.548 0.125 0.923
Pb4 0.875 0.798 0.423

***

No. 5
This record from Alexandria via LeMat-Bulk describes K2Na2Pb after structural relaxation. The functional is PBE-GGA.

Calculated values
symmetry = No. 141
offset from the most stable computed form = 4.6 kJ per mole of atoms

a b c (Å): 11.851 11.851 11.851
angles (deg): 148.68 148.68 44.89
Atoms (fractional coordinates):
K1 0.058 0.308 0.750
K2 0.308 0.058 0.250
K3 0.692 0.942 0.750
K4 0.942 0.692 0.250
Na1 0.216 0.466 0.750
Na2 0.466 0.216 0.250
Na3 0.534 0.784 0.750
Na4 0.784 0.534 0.250
Pb1 0.375 0.625 0.750
Pb2 0.625 0.375 0.250

***

No. 6
This record from Alexandria via LeMat-Bulk describes KNa2Pb2 after structural relaxation. The functional is PBE-GGA.

Calculated values
symmetry = No. 12
offset from the most stable computed form = 0.8 kJ per mole of atoms

a b c (Å): 6.199 6.199 6.264
angles (deg): 111.58 111.58 50.37
Atoms (fractional coordinates):
K1 0.000 0.000 0.000
Na1 0.383 0.383 0.240
Na2 0.617 0.617 0.760
Pb1 0.275 0.275 0.657
Pb2 0.725 0.725 0.343

***

Number 1: calculated formation energy -0.083 eV/atom, spin magnetization 0.0000 μB per atom. Number 2: calculated formation energy -0.074 eV/atom, spin magnetization 0.0000 μB per atom. Number 3: calculated formation energy 0.053 eV/atom, spin magnetization 0.0000 μB per atom. Number 4: calculated formation energy 0.058 eV/atom, spin magnetization 0.0000 μB per atom. Number 5: calculated formation energy -0.027 eV/atom, spin magnetization 0.0000 μB per atom. Number 6: calculated formation energy -0.117 eV/atom, spin magnetization 0.0000 μB per atom.